[1]
First-principles (GGA-PBE) data for crystalline DyTmIn at its relaxed geometry, as listed in the Alexandria database.

Structure (CIF):
```
data_DyTmIn
_chemical_formula_sum 'Dy2 Tm2 In2'
_cell_length_a 3.512
_cell_length_b 3.512
_cell_length_c 13.649
_cell_angle_alpha 90.00
_cell_angle_beta 90.00
_cell_angle_gamma 90.00
_space_group_name_H-M_alt 'I 4 m m'
_space_group_IT_number 107
_space_group_name_Hall 'I 4 -2'
loop_
_atom_site_label
_atom_site_type_symbol
_atom_site_fract_x
_atom_site_fract_y
_atom_site_fract_z
Dy1 Dy 0.000 0.000 0.000
Tm1 Tm 0.000 0.000 0.686
In1 In 0.000 0.000 0.341
```

Results
Uncorrected energy = -4.25 eV/atom
ΔE_f = -313 meV/atom


[2]
First-principles (GGA-PBE) data for crystalline BaInSn at its relaxed geometry, as listed in the Alexandria database.

Structure (CIF):
```
data_BaInSn
_chemical_formula_sum 'Ba4 In4 Sn4'
_cell_length_a 4.943
_cell_length_b 9.964
_cell_length_c 8.605
_cell_angle_alpha 90.00
_cell_angle_beta 90.00
_cell_angle_gamma 90.00
_space_group_name_H-M_alt 'I m m 2'
_space_group_IT_number 44
_space_group_name_Hall 'I 2 -2'
loop_
_atom_site_label
_atom_site_type_symbol
_atom_site_fract_x
_atom_site_fract_y
_atom_site_fract_z
Ba1 Ba 0.000 0.000 0.000
Ba2 Ba 0.000 0.500 0.052
In1 In 0.000 0.315 0.704
Sn1 Sn 0.000 0.250 0.370
```

Results
Uncorrected energy = -3.41 eV/atom
ΔE_f = -522 meV/atom


[3]
First-principles (GGA-PBE) data for crystalline Sr2TaCr at its relaxed geometry, as listed in the Alexandria database.

Structure (CIF):
```
data_Sr2TaCr
_chemical_formula_sum 'Sr8 Ta4 Cr4'
_cell_length_a 11.789
_cell_length_b 11.789
_cell_length_c 4.568
_cell_angle_alpha 90.00
_cell_angle_beta 90.00
_cell_angle_gamma 90.00
_space_group_name_H-M_alt 'I -4 2 d'
_space_group_IT_number 122
_space_group_name_Hall 'I -4 2bw'
loop_
_atom_site_label
_atom_site_type_symbol
_atom_site_fract_x
_atom_site_fract_y
_atom_site_fract_z
Sr1 Sr 0.080 0.750 0.125
Ta1 Ta 0.000 0.000 0.500
Cr1 Cr 0.000 0.000 0.000
```

Results
Uncorrected energy = -5.07 eV/atom
ΔE_f = 1141 meV/atom


What is the formula in the third record? Sr2TaCr